(1)
# Pm4CoGe

A geometry-optimized Pm4CoGe structure (PBE, Alexandria).

abc: 7.1370 7.0086 6.9890
angles: 90.00 92.88 90.00
Space group P2_1/c (No. 14)
Asymmetric unit:
Pm1 0.1517 0.1665 0.1804 (multiplicity 4)
Pm2 0.3206 0.6548 0.1393 (multiplicity 4)
Co1 0.0000 0.0000 0.5000 (multiplicity 2)
Ge1 0.5000 0.0000 0.0000 (multiplicity 2)

As for the calculated formation energy: -1.44 eV per formula unit. The magnetic moment is 0.00 μB/cell.

(2)
# Li2YCl6

A geometry-optimized Li2YCl6 structure (PBE, Alexandria).

abc: 12.9759 4.1325 9.4900
angles: 90.00 105.83 90.00
Space group C2/m (No. 12)
Asymmetric unit:
Li1 0.2086 0.0000 0.1635 (multiplicity 4)
Y1 0.0000 0.0000 0.5000 (multiplicity 2)
Cl1 0.0548 0.0000 0.2594 (multiplicity 4)
Cl2 0.1377 0.5000 0.6018 (multiplicity 4)
Cl3 0.1683 0.5000 0.0375 (multiplicity 4)

The total energy comes out at -4.037 eV/atom. The magnetic moment is 2.09 μB/cell.

(3)
# Sm3DyEr3S8

A geometry-optimized Sm3DyEr3S8 structure (PBE, Alexandria).

abc: 7.8288 7.8288 19.3823
angles: 90.00 90.00 120.00
Space group R-3m (No. 166, hexagonal axes)
Asymmetric unit:
Sm1 0.0000 0.5000 0.0000 (multiplicity 9)
Dy1 0.0000 0.0000 0.5000 (multiplicity 3)
Er1 0.0000 0.5000 0.5000 (multiplicity 9)
S1 0.0000 0.0000 0.2457 (multiplicity 6)
S2 0.0048 0.5024 0.7532 (multiplicity 18)

The total energy comes out at -6.410 eV/atom. The magnetic moment is 0.00 μB/cell.

(4)
# P2Ru2SeN

A geometry-optimized P2Ru2SeN structure (PBE, Alexandria).

abc: 6.0575 3.1009 6.4062
angles: 90.00 90.91 90.00
Space group Pm (No. 6)
Asymmetric unit:
P1 0.0000 0.0000 0.0000 (multiplicity 1)
P2 0.4800 0.0000 0.9930 (multiplicity 1)
Ru1 0.2452 0.5000 0.1482 (multiplicity 1)
Ru2 0.2470 0.0000 0.7288 (multiplicity 1)
Se1 0.4302 0.5000 0.4987 (multiplicity 1)
N1 0.7394 0.0000 0.9917 (multiplicity 1)

The magnetic moment is 0.00 μB/cell. The energy relative to the lowest polymorph listed for this composition is 88 meV per atom.

(5)
# NaNdAgBr5

A geometry-optimized NaNdAgBr5 structure (PBE, Alexandria).

abc: 8.3922 13.7375 10.6770
angles: 90.00 110.61 90.00
Space group C2/c (No. 15)
Asymmetric unit:
Na1 0.0000 0.0673 0.2500 (multiplicity 4)
Nd1 0.0000 0.5000 0.0000 (multiplicity 4)
Ag1 0.0000 0.2167 0.7500 (multiplicity 4)
Br1 0.0000 0.4132 0.2500 (multiplicity 4)
Br2 0.1649 0.0854 0.9504 (multiplicity 8)
Br3 0.1793 0.3286 0.6381 (multiplicity 8)

The total energy comes out at -3.545 eV/atom. The magnetic moment is 0.00 μB/cell.

(6)
# TlTc2Te

A geometry-optimized TlTc2Te structure (PBE, Alexandria).

abc: 3.1823 4.1324 5.9772
angles: 90.00 99.53 90.00
Space group P2/m (No. 10)
Asymmetric unit:
Tl1 0.0000 0.0000 0.0000 (multiplicity 1)
Tc1 0.3187 0.5000 0.7185 (multiplicity 2)
Te1 0.5000 0.0000 0.5000 (multiplicity 1)

The magnetic moment is 0.00 μB/cell. The energy relative to the lowest polymorph listed for this composition is 445 meV per atom.

(7)
# Zr2Cd2Rh

A geometry-optimized Zr2Cd2Rh structure (PBE, Alexandria).

abc: 7.1593 7.1593 4.0437
angles: 90.00 90.00 90.00
Space group P4/mbm (No. 127)
Asymmetric unit:
Zr1 0.1703 0.3297 0.0000 (multiplicity 4)
Cd1 0.1352 0.6352 0.5000 (multiplicity 4)
Rh1 0.0000 0.0000 0.5000 (multiplicity 2)

As for the calculated formation energy: 0.17 eV per formula unit. The magnetic moment is 0.00 μB/cell. The energy relative to the lowest polymorph listed for this composition is 361 meV per atom.

(8)
# PaH3Pd

A geometry-optimized PaH3Pd structure (PBE, Alexandria).

abc: 3.7415 3.7415 3.7415
angles: 90.00 90.00 90.00
Space group Pm-3m (No. 221)
Asymmetric unit:
Pa1 0.0000 0.0000 0.0000 (multiplicity 1)
H1 0.0000 0.5000 0.5000 (multiplicity 3)
Pd1 0.5000 0.5000 0.5000 (multiplicity 1)

The magnetic moment is 1.61 μB/cell. The energy relative to the lowest polymorph listed for this composition is 0 meV per atom.

(9)
# ZnFe2Os

A geometry-optimized ZnFe2Os structure (PBE, Alexandria).

abc: 2.8765 4.3536 8.4520
angles: 90.00 90.00 90.00
Space group Cmm2 (No. 35)
Asymmetric unit:
Zn1 0.0000 0.0000 0.0000 (multiplicity 2)
Fe1 0.0000 0.0000 0.5199 (multiplicity 2)
Fe2 0.0000 0.5000 0.7504 (multiplicity 2)
Os1 0.0000 0.5000 0.2690 (multiplicity 2)

As for the calculated formation energy: 0.71 eV per formula unit. The magnetic moment is 10.61 μB/cell.

(10)
# Cd2BW

A geometry-optimized Cd2BW structure (PBE, Alexandria).

abc: 7.6351 7.6351 4.6465
angles: 90.00 90.00 90.00
Space group I-42d (No. 122)
Asymmetric unit:
Cd1 0.1656 0.2500 0.1250 (multiplicity 8)
B1 0.0000 0.0000 0.0000 (multiplicity 4)
W1 0.0000 0.0000 0.5000 (multiplicity 4)

As for the calculated formation energy: 4.21 eV per formula unit. The magnetic moment is 0.00 μB/cell.

(11)
# CdTeRu2

A geometry-optimized CdTeRu2 structure (PBE, Alexandria).

abc: 6.4762 6.4762 6.4762
angles: 90.00 90.00 90.00
Space group Fm-3m (No. 225)
Asymmetric unit:
Cd1 0.0000 0.0000 0.0000 (multiplicity 4)
Te1 0.0000 0.0000 0.5000 (multiplicity 4)
Ru1 0.2500 0.2500 0.2500 (multiplicity 8)

The magnetic moment is 0.00 μB/cell. The energy relative to the lowest polymorph listed for this composition is 39 meV per atom.

(12)
# SmGdPdRu

A geometry-optimized SmGdPdRu structure (PBE, Alexandria).

abc: 7.0057 7.0057 7.0057
angles: 90.00 90.00 90.00
Space group F-43m (No. 216)
Asymmetric unit:
Sm1 0.0000 0.0000 0.0000 (multiplicity 4)
Gd1 0.0000 0.0000 0.5000 (multiplicity 4)
Pd1 0.2500 0.2500 0.7500 (multiplicity 4)
Ru1 0.2500 0.2500 0.2500 (multiplicity 4)

As for the calculated formation energy: -2.15 eV per formula unit. The magnetic moment is 28.44 μB/cell.

(13)
# P2SO2

A geometry-optimized P2SO2 structure (PBE, Alexandria).

abc: 3.3347 3.3347 5.2723
angles: 90.00 90.00 90.00
Space group P4/mmm (No. 123)
Asymmetric unit:
P1 0.0000 0.0000 0.0000 (multiplicity 1)
P2 0.0000 0.0000 0.5000 (multiplicity 1)
S1 0.5000 0.5000 0.0000 (multiplicity 1)
O1 0.0000 0.5000 0.5000 (multiplicity 2)

The total energy comes out at -5.449 eV/atom. The magnetic moment is 0.00 μB/cell.

(14)
# Sr3Pr3SmS8

A geometry-optimized Sr3Pr3SmS8 structure (PBE, Alexandria).

abc: 8.2736 8.2736 20.8135
angles: 90.00 90.00 120.00
Space group R-3m (No. 166, hexagonal axes)
Asymmetric unit:
Sr1 0.0000 0.5000 0.0000 (multiplicity 9)
Pr1 0.0000 0.5000 0.5000 (multiplicity 9)
Sm1 0.0000 0.0000 0.5000 (multiplicity 3)
S1 0.0000 0.0000 0.2474 (multiplicity 6)
S2 0.0084 0.5042 0.2437 (multiplicity 18)

The total energy comes out at -5.874 eV/atom. The magnetic moment is 0.00 μB/cell.

(15)
# HoGaMo

A geometry-optimized HoGaMo structure (PBE, Alexandria).

abc: 10.9750 3.5031 7.6376
angles: 90.00 122.94 90.00
Space group C2/m (No. 12)
Asymmetric unit:
Ho1 0.0738 0.0000 0.2874 (multiplicity 4)
Ga1 0.1304 0.5000 0.6536 (multiplicity 4)
Mo1 0.1926 0.5000 0.0538 (multiplicity 4)

As for the calculated formation energy: -0.67 eV per formula unit. The magnetic moment is 0.00 μB/cell.

(16)
# BaY2P

A geometry-optimized BaY2P structure (PBE, Alexandria).

abc: 7.7958 7.7958 7.7958
angles: 90.00 90.00 90.00
Space group F-43m (No. 216)
Asymmetric unit:
Ba1 0.0000 0.0000 0.0000 (multiplicity 4)
Y1 0.0000 0.0000 0.5000 (multiplicity 4)
Y2 0.2500 0.2500 0.7500 (multiplicity 4)
P1 0.2500 0.2500 0.2500 (multiplicity 4)

As for the calculated formation energy: 0.60 eV per formula unit. The magnetic moment is 4.68 μB/cell.

(17)
# Ho3ZnC

A geometry-optimized Ho3ZnC structure (PBE, Alexandria).

abc: 11.3012 5.0544 8.0927
angles: 90.00 108.31 90.00
Space group C2/m (No. 12)
Asymmetric unit:
Ho1 0.0926 0.0000 0.2042 (multiplicity 4)
Ho2 0.1396 0.5000 0.9214 (multiplicity 4)
Ho3 0.1627 0.0000 0.6434 (multiplicity 4)
Zn1 0.0887 0.5000 0.4335 (multiplicity 4)
C1 0.1331 0.0000 0.9239 (multiplicity 4)

As for the calculated formation energy: -1.34 eV per formula unit. The magnetic moment is 0.00 μB/cell. The energy relative to the lowest polymorph listed for this composition is 0 meV per atom.

(18)
# Ca2SeCl

A geometry-optimized Ca2SeCl structure (PBE, Alexandria).

abc: 4.0451 4.0451 14.3647
angles: 90.00 90.00 90.00
Space group I-4m2 (No. 119)
Asymmetric unit:
Ca1 0.0000 0.0000 0.0000 (multiplicity 2)
Ca2 0.0000 0.5000 0.2500 (multiplicity 2)
Se1 0.0000 0.0000 0.5000 (multiplicity 2)
Cl1 0.0000 0.5000 0.7500 (multiplicity 2)

The magnetic moment is 0.92 μB/cell. The energy relative to the lowest polymorph listed for this composition is 262 meV per atom.

(19)
# LiCePrHg

A geometry-optimized LiCePrHg structure (PBE, Alexandria).

abc: 7.6274 7.6274 7.6274
angles: 90.00 90.00 90.00
Space group F-43m (No. 216)
Asymmetric unit:
Li1 0.0000 0.0000 0.0000 (multiplicity 4)
Ce1 0.2500 0.2500 0.7500 (multiplicity 4)
Pr1 0.2500 0.2500 0.2500 (multiplicity 4)
Hg1 0.0000 0.0000 0.5000 (multiplicity 4)

As for the calculated formation energy: -0.37 eV per formula unit. The magnetic moment is 6.61 μB/cell.

(20)
# PrMg4Pd2

A geometry-optimized PrMg4Pd2 structure (PBE, Alexandria).

abc: 8.1465 8.1465 4.5087
angles: 90.00 90.00 90.00
Space group P4_2/mnm (No. 136)
Asymmetric unit:
Pr1 0.0000 0.0000 0.0000 (multiplicity 2)
Mg1 0.0878 0.3367 0.5000 (multiplicity 8)
Pd1 0.2296 0.7704 0.5000 (multiplicity 4)

As for the calculated formation energy: -3.59 eV per formula unit. The magnetic moment is 0.00 μB/cell.